A plane-wave DFT calculation with PBE+U was carried out for AgAsWF2 after structural relaxation.

Calculated values
N(E_F): 0.1850 states/eV per atom
V: 94.6 Å³ per cell
Total DFT energy (no corrections): -23.8 eV for the cell shown

Cell lengths 4.1442, 5.5071, 4.1442 Å; angles 90.00, 90.00, 90.00 degrees
Fractional coordinates of all 5 atoms:
As (0.0000, 0.5000, 0.0000)
Ag (0.5000, 0.5000, 0.5000)
W (0.0000, 0.0000, 0.0000)
F (0.0000, 0.0000, 0.5000)
F (0.5000, 0.0000, 0.0000)